[1]
Below is an optimized crystal structure of PmZrTe2, with properties calculated at the PBE level.

Results
ΔE_f (raw)	-0.99	eV/atom
crystal system	tetragonal
ΔE to the lowest computed polymorph	0.00	eV/f.u.
volume	101.8	Å³/f.u.
total energy	-5.886	eV/atom
spin magnetization	0.000	Bohr magnetons per cell

CIF file:
```
data_PmZrTe2
_chemical_formula_sum 'Pm1 Zr1 Te2'
_cell_length_a 3.682
_cell_length_b 3.682
_cell_length_c 7.511
_cell_angle_alpha 90.00
_cell_angle_beta 90.00
_cell_angle_gamma 90.00
_space_group_name_H-M_alt 'P 1'
_space_group_IT_number 1
loop_
_space_group_symop_operation_xyz
'x,y,z'
loop_
_atom_site_label
_atom_site_type_symbol
_atom_site_fract_x
_atom_site_fract_y
_atom_site_fract_z
Pm1 Pm 0.500 0.500 0.500
Zr1 Zr 0.500 0.500 0.000
Te1 Te 0.000 0.000 0.230
Te2 Te 0.000 0.000 0.770
```

[2]
Below is an optimized crystal structure of Cs3Br6N, with properties calculated at the PBE level.

Results
ΔE_f (raw)	-0.57	eV/atom
crystal system	cubic
volume	386.7	Å³/f.u.
total energy	-2.659	eV/atom
spin magnetization	0.000	Bohr magnetons per cell

CIF file:
```
data_Cs3Br6N
_chemical_formula_sum 'Cs3 Br6 N1'
_cell_length_a 8.178
_cell_length_b 8.178
_cell_length_c 8.178
_cell_angle_alpha 60.00
_cell_angle_beta 60.00
_cell_angle_gamma 90.00
_space_group_name_H-M_alt 'P 1'
_space_group_IT_number 1
loop_
_space_group_symop_operation_xyz
'x,y,z'
loop_
_atom_site_label
_atom_site_type_symbol
_atom_site_fract_x
_atom_site_fract_y
_atom_site_fract_z
Br1 Br 0.292 0.292 0.000
Br2 Br 0.708 0.708 0.000
Br3 Br 0.708 0.292 0.000
Br4 Br 0.708 0.708 0.583
N1 N 0.500 0.500 0.000
Cs1 Cs 0.000 0.000 0.000
Br5 Br 0.292 0.292 0.417
Cs2 Cs 0.750 0.250 0.500
Br6 Br 0.292 0.708 0.000
Cs3 Cs 0.250 0.750 0.500
```

[3]
Below is an optimized crystal structure of PrSmPdPt, with properties calculated at the PBE level.

Results
crystal system	orthorhombic
ΔE to the lowest computed polymorph	0.00	eV/f.u.
volume	97.4	Å³/f.u.
total energy	-6.176	eV/atom
spin magnetization	0.000	Bohr magnetons per cell

CIF file:
```
data_PrSmPdPt
_chemical_formula_sum 'Pr1 Sm1 Pd1 Pt1'
_cell_length_a 3.909
_cell_length_b 4.580
_cell_length_c 5.779
_cell_angle_alpha 90.00
_cell_angle_beta 109.77
_cell_angle_gamma 90.00
_space_group_name_H-M_alt 'P 1'
_space_group_IT_number 1
loop_
_space_group_symop_operation_xyz
'x,y,z'
loop_
_atom_site_label
_atom_site_type_symbol
_atom_site_fract_x
_atom_site_fract_y
_atom_site_fract_z
Pd1 Pd 0.585 0.500 0.171
Pt1 Pt 0.413 0.000 0.825
Pr1 Pr 0.138 0.000 0.276
Sm1 Sm 0.864 0.500 0.728
```

[4]
Below is an optimized crystal structure of Rb3Hf3AgTe8, with properties calculated at the PBE level.

Results
ΔE_f (raw)	-0.78	eV/atom
crystal system	monoclinic
volume	537.4	Å³/f.u.
total energy	-4.828	eV/atom
spin magnetization	0.000	Bohr magnetons per cell

CIF file:
```
data_Rb3Hf3AgTe8
_chemical_formula_sum 'Rb3 Hf3 Ag1 Te8'
_cell_length_a 8.476
_cell_length_b 8.482
_cell_length_c 9.921
_cell_angle_alpha 115.32
_cell_angle_beta 90.00
_cell_angle_gamma 119.98
_space_group_name_H-M_alt 'P 1'
_space_group_IT_number 1
loop_
_space_group_symop_operation_xyz
'x,y,z'
loop_
_atom_site_label
_atom_site_type_symbol
_atom_site_fract_x
_atom_site_fract_y
_atom_site_fract_z
Ag1 Ag 0.000 0.000 0.500
Te1 Te 0.731 0.462 0.693
Hf1 Hf 0.500 0.000 0.500
Hf2 Hf 0.500 0.500 0.500
Rb1 Rb 0.000 0.000 0.000
Rb2 Rb 0.500 0.500 0.000
Te2 Te 0.285 0.049 0.312
Te3 Te 0.763 0.526 0.312
Te4 Te 0.237 0.951 0.688
Te5 Te 0.763 0.049 0.312
Te6 Te 0.269 0.538 0.307
Rb3 Rb 0.000 0.500 0.000
Hf3 Hf 0.000 0.500 0.500
Te7 Te 0.237 0.474 0.688
Te8 Te 0.715 0.951 0.688
```

[5]
Below is an optimized crystal structure of Ba2AgHg, with properties calculated at the PBE level.

Results
crystal system	tetragonal
volume	170.3	Å³/f.u.
total energy	-1.889	eV/atom
spin magnetization	0.000	Bohr magnetons per cell

CIF file:
```
data_Ba2AgHg
_chemical_formula_sum 'Ba4 Ag2 Hg2'
_cell_length_a 9.039
_cell_length_b 9.039
_cell_length_c 7.632
_cell_angle_alpha 53.68
_cell_angle_beta 53.68
_cell_angle_gamma 90.00
_space_group_name_H-M_alt 'P 1'
_space_group_IT_number 1
loop_
_space_group_symop_operation_xyz
'x,y,z'
loop_
_atom_site_label
_atom_site_type_symbol
_atom_site_fract_x
_atom_site_fract_y
_atom_site_fract_z
Hg1 Hg 0.000 0.000 0.000
Ag1 Ag 0.250 0.750 0.500
Ba1 Ba 0.615 0.125 0.250
Ba2 Ba 0.875 0.865 0.750
Ba3 Ba 0.375 0.385 0.750
Ba4 Ba 0.135 0.625 0.250
Ag2 Ag 0.500 0.500 0.000
Hg2 Hg 0.750 0.250 0.500
```

[6]
Below is an optimized crystal structure of PuPa2Ge, with properties calculated at the PBE level.

Results
crystal system	tetragonal
ΔE to the lowest computed polymorph	0.52	eV/f.u.
volume	92.9	Å³/f.u.
total energy	-9.646	eV/atom
spin magnetization	7.348	Bohr magnetons per cell

CIF file:
```
data_PuPa2Ge
_chemical_formula_sum 'Pu1 Pa2 Ge1'
_cell_length_a 3.791
_cell_length_b 3.791
_cell_length_c 6.464
_cell_angle_alpha 90.00
_cell_angle_beta 90.00
_cell_angle_gamma 90.00
_space_group_name_H-M_alt 'P 1'
_space_group_IT_number 1
loop_
_space_group_symop_operation_xyz
'x,y,z'
loop_
_atom_site_label
_atom_site_type_symbol
_atom_site_fract_x
_atom_site_fract_y
_atom_site_fract_z
Pa1 Pa 0.000 0.000 0.730
Pa2 Pa 0.000 0.000 0.270
Pu1 Pu 0.500 0.500 0.000
Ge1 Ge 0.500 0.500 0.500
```